No. 1
# P2Rh | Alexandria via LeMat-Bulk | PBE | optimized geometry
# Crystal system: orthorhombic
# Total DFT energy (no corrections) (eV/cell): -76.2
data_P2Rh
_chemical_formula_sum 'P8 Rh4'
_space_group_name_H-M_alt 'C m c m'
_space_group_IT_number 63
_space_group_name_Hall '-C 2c 2'
_cell_length_a 3.230
_cell_length_b 11.029
_cell_length_c 4.683
_cell_angle_alpha 90.00
_cell_angle_beta 90.00
_cell_angle_gamma 90.00
loop_
_atom_site_label
_atom_site_fract_x
_atom_site_fract_y
_atom_site_fract_z
P1 0.000 0.018 0.250
P2 0.000 0.363 0.250
Rh1 0.000 0.307 0.750

=====

No. 2
# ErAgC | Alexandria via LeMat-Bulk | PBE | optimized geometry
# Crystal system: orthorhombic
# Total DFT energy (no corrections) (eV/cell): -63.9
data_ErAgC
_chemical_formula_sum 'Er4 Ag4 C4'
_space_group_name_H-M_alt 'I m m m'
_space_group_IT_number 71
_space_group_name_Hall '-I 2 2'
_cell_length_a 4.128
_cell_length_b 4.541
_cell_length_c 12.763
_cell_angle_alpha 90.00
_cell_angle_beta 90.00
_cell_angle_gamma 90.00
loop_
_atom_site_label
_atom_site_fract_x
_atom_site_fract_y
_atom_site_fract_z
Er1 0.000 0.000 0.144
Ag1 0.000 0.000 0.381
C1 0.000 0.356 0.000

=====

No. 3
# LiY2TlHg4 | Alexandria via LeMat-Bulk | PBE | optimized geometry
# Crystal system: trigonal
# Total DFT energy (no corrections) (eV/cell): -64.6
data_LiY2TlHg4
_chemical_formula_sum 'Li3 Y6 Tl3 Hg12'
_space_group_name_H-M_alt 'R -3 m'
_space_group_IT_number 166
_space_group_name_Hall '-R 3 2"'
_cell_length_a 5.1262
_cell_length_b 5.1262
_cell_length_c 24.9437
_cell_angle_alpha 90.00
_cell_angle_beta 90.00
_cell_angle_gamma 120.00
loop_
_atom_site_label
_atom_site_fract_x
_atom_site_fract_y
_atom_site_fract_z
Li1 0.0000 0.0000 0.0000
Y1 0.0000 0.0000 0.2452
Tl1 0.0000 0.0000 0.5000
Hg1 0.0000 0.0000 0.1146
Hg2 0.0000 0.0000 0.3666

=====

No. 4
# ZnAsHBr2 | Alexandria via LeMat-Bulk | PBE | optimized geometry
# Polymorph energy (0 for the lowest one) (eV per atom): 0.000
# Crystal system: tetragonal
data_ZnAsHBr2
_chemical_formula_sum 'Zn1 As1 H1 Br2'
_space_group_name_H-M_alt 'P 4/m m m'
_space_group_IT_number 123
_space_group_name_Hall '-P 4 2'
_cell_length_a 5.296
_cell_length_b 5.296
_cell_length_c 3.515
_cell_angle_alpha 90.00
_cell_angle_beta 90.00
_cell_angle_gamma 90.00
loop_
_atom_site_label
_atom_site_fract_x
_atom_site_fract_y
_atom_site_fract_z
Zn1 0.000 0.000 0.000
As1 0.500 0.500 0.000
H1 0.500 0.500 0.500
Br1 0.000 0.500 0.500

=====

No. 5
# TmScHgC | Alexandria via LeMat-Bulk | PBE | optimized geometry
# Crystal system: trigonal
# Total DFT energy (no corrections) (eV/cell): -63.4
data_TmScHgC
_chemical_formula_sum 'Tm3 Sc3 Hg3 C3'
_space_group_name_H-M_alt 'R 3 m'
_space_group_IT_number 160
_space_group_name_Hall 'R 3 -2"'
_cell_length_a 3.4144
_cell_length_b 3.4144
_cell_length_c 23.3796
_cell_angle_alpha 90.00
_cell_angle_beta 90.00
_cell_angle_gamma 120.00
loop_
_atom_site_label
_atom_site_fract_x
_atom_site_fract_y
_atom_site_fract_z
Tm1 0.0000 0.0000 0.0000
Sc1 0.0000 0.0000 0.8818
Hg1 0.0000 0.0000 0.4418
C1 0.0000 0.0000 0.6036

=====

No. 6
# CuAg2Cl | Alexandria via LeMat-Bulk | PBE | optimized geometry
# Uncorrected formation energy (eV per formula unit): 0.28
# Polymorph energy (0 for the lowest one) (eV per atom): 0.136
# Crystal system: trigonal
data_CuAg2Cl
_chemical_formula_sum 'Cu3 Ag6 Cl3'
_space_group_name_H-M_alt 'R -3 m'
_space_group_IT_number 166
_space_group_name_Hall '-R 3 2"'
_cell_length_a 3.2853
_cell_length_b 3.2853
_cell_length_c 23.4564
_cell_angle_alpha 90.00
_cell_angle_beta 90.00
_cell_angle_gamma 120.00
loop_
_atom_site_label
_atom_site_fract_x
_atom_site_fract_y
_atom_site_fract_z
Cu1 0.0000 0.0000 0.0000
Ag1 0.0000 0.0000 0.2542
Cl1 0.0000 0.0000 0.5000

=====

No. 7
# MnBe2Cr | Alexandria via LeMat-Bulk | PBE | optimized geometry
# Polymorph energy (0 for the lowest one) (eV per atom): 0.140
# Crystal system: orthorhombic
data_MnBe2Cr
_chemical_formula_sum 'Mn2 Be4 Cr2'
_space_group_name_H-M_alt 'C m m 2'
_space_group_IT_number 35
_cell_length_a 2.777
_cell_length_b 3.783
_cell_length_c 7.495
_cell_angle_alpha 90.00
_cell_angle_beta 90.00
_cell_angle_gamma 90.00
loop_
_space_group_symop_operation_xyz
'x,y,z'
'-x,-y,z'
'-x,y,z'
'x,-y,z'
'x+1/2,y+1/2,z'
'-x+1/2,-y+1/2,z'
'-x+1/2,y+1/2,z'
'x+1/2,-y+1/2,z'
loop_
_atom_site_label
_atom_site_fract_x
_atom_site_fract_y
_atom_site_fract_z
Mn1 0.000 0.000 0.000
Be1 0.000 0.000 0.478
Be2 0.000 0.500 0.245
Cr1 0.000 0.500 0.732

=====

No. 8
# Cs2ScCd2Te4 | Alexandria via LeMat-Bulk | PBE | optimized geometry
# Uncorrected formation energy (eV per formula unit): -7.44
# Crystal system: monoclinic
data_Cs2ScCd2Te4
_chemical_formula_sum 'Cs4 Sc2 Cd4 Te8'
_space_group_name_H-M_alt 'C 1 2/m 1'
_space_group_IT_number 12
_cell_length_a 17.522
_cell_length_b 4.476
_cell_length_c 9.175
_cell_angle_alpha 90.00
_cell_angle_beta 112.04
_cell_angle_gamma 90.00
loop_
_space_group_symop_operation_xyz
'x,y,z'
'-x,-y,-z'
'-x,y,-z'
'x,-y,z'
'x+1/2,y+1/2,z'
'-x+1/2,-y+1/2,-z'
'-x+1/2,y+1/2,-z'
'x+1/2,-y+1/2,z'
loop_
_atom_site_label
_atom_site_fract_x
_atom_site_fract_y
_atom_site_fract_z
Cs1 0.129 0.000 0.072
Sc1 0.000 0.000 0.500
Cd1 0.186 0.500 0.497
Te1 0.017 0.500 0.289
Te2 0.179 0.000 0.697

=====

No. 9
# PmFeSiH | Alexandria via LeMat-Bulk | PBE | optimized geometry
# Crystal system: tetragonal
# Total DFT energy (no corrections) (eV/cell): -49.0
data_PmFeSiH
_chemical_formula_sum 'Pm2 Fe2 Si2 H2'
_space_group_name_H-M_alt 'P 4/n m m'
_space_group_IT_number 129
_cell_length_a 3.970
_cell_length_b 3.970
_cell_length_c 7.519
_cell_angle_alpha 90.00
_cell_angle_beta 90.00
_cell_angle_gamma 90.00
loop_
_space_group_symop_operation_xyz
'x,y,z'
'-x,-y,-z'
'-y+1/2,x,z'
'y+1/2,-x,-z'
'-x+1/2,-y+1/2,z'
'x+1/2,y+1/2,-z'
'y,-x+1/2,z'
'-y,x+1/2,-z'
'x+1/2,-y,-z'
'-x+1/2,y,z'
'-y,-x,-z'
'y,x,z'
'-x,y+1/2,-z'
'x,-y+1/2,z'
'y+1/2,x+1/2,-z'
'-y+1/2,-x+1/2,z'
loop_
_atom_site_label
_atom_site_fract_x
_atom_site_fract_y
_atom_site_fract_z
Pm1 0.250 0.250 0.172
Fe1 0.250 0.750 0.500
Si1 0.250 0.250 0.646
H1 0.250 0.750 0.000

=====

No. 10
# MnFe2Se | Alexandria via LeMat-Bulk | PBE | optimized geometry
# Uncorrected formation energy (eV per formula unit): 0.85
# Crystal system: tetragonal
data_MnFe2Se
_chemical_formula_sum 'Mn1 Fe2 Se1'
_space_group_name_H-M_alt 'P 4/m m m'
_space_group_IT_number 123
_space_group_name_Hall '-P 4 2'
_cell_length_a 3.180
_cell_length_b 3.180
_cell_length_c 5.216
_cell_angle_alpha 90.00
_cell_angle_beta 90.00
_cell_angle_gamma 90.00
loop_
_atom_site_label
_atom_site_fract_x
_atom_site_fract_y
_atom_site_fract_z
Mn1 0.000 0.000 0.000
Fe1 0.500 0.500 0.248
Se1 0.000 0.000 0.500

=====

No. 11
# BaNaI2O8 | Alexandria via LeMat-Bulk | PBE | optimized geometry
# Uncorrected formation energy (eV per formula unit): -10.21
# Crystal system: monoclinic
data_BaNaI2O8
_chemical_formula_sum 'Ba2 Na2 I4 O16'
_space_group_name_H-M_alt 'C 1 2/m 1'
_space_group_IT_number 12
_cell_length_a 11.360
_cell_length_b 5.832
_cell_length_c 6.841
_cell_angle_alpha 90.00
_cell_angle_beta 112.25
_cell_angle_gamma 90.00
loop_
_space_group_symop_operation_xyz
'x,y,z'
'-x,-y,-z'
'-x,y,-z'
'x,-y,z'
'x+1/2,y+1/2,z'
'-x+1/2,-y+1/2,-z'
'-x+1/2,y+1/2,-z'
'x+1/2,-y+1/2,z'
loop_
_atom_site_label
_atom_site_fract_x
_atom_site_fract_y
_atom_site_fract_z
Ba1 0.000 0.000 0.000
Na1 0.000 0.500 0.500
I1 0.214 0.000 0.692
O1 0.110 0.500 0.170
O2 0.135 0.240 0.765
O3 0.169 0.000 0.404

=====

No. 12
# LiBeTe2I | Alexandria via LeMat-Bulk | PBE | optimized geometry
# Uncorrected formation energy (eV per formula unit): 3.30
# Polymorph energy (0 for the lowest one) (eV per atom): 0.716
# Crystal system: tetragonal
data_LiBeTe2I
_chemical_formula_sum 'Li1 Be1 Te2 I1'
_space_group_name_H-M_alt 'P 4/m m m'
_space_group_IT_number 123
_space_group_name_Hall '-P 4 2'
_cell_length_a 5.132
_cell_length_b 5.132
_cell_length_c 5.330
_cell_angle_alpha 90.00
_cell_angle_beta 90.00
_cell_angle_gamma 90.00
loop_
_atom_site_label
_atom_site_fract_x
_atom_site_fract_y
_atom_site_fract_z
Li1 0.000 0.000 0.000
Be1 0.500 0.500 0.500
Te1 0.000 0.500 0.000
I1 0.000 0.000 0.500

=====

No. 13
# Ba2Mg16Ag | Alexandria via LeMat-Bulk | PBE | optimized geometry
# Crystal system: trigonal
# Total DFT energy (no corrections) (eV/cell): -100.9
data_Ba2Mg16Ag
_chemical_formula_sum 'Ba6 Mg48 Ag3'
_space_group_name_H-M_alt 'R 3 m'
_space_group_IT_number 160
_space_group_name_Hall 'R 3 -2"'
_cell_length_a 10.5669
_cell_length_b 10.5669
_cell_length_c 15.4891
_cell_angle_alpha 90.00
_cell_angle_beta 90.00
_cell_angle_gamma 120.00
loop_
_atom_site_label
_atom_site_fract_x
_atom_site_fract_y
_atom_site_fract_z
Ba1 0.0000 0.0000 0.0000
Ba2 0.0000 0.0000 0.3255
Mg1 0.0000 0.0000 0.7504
Mg2 0.9999 0.2903 0.6623
Mg3 0.0031 0.5016 0.5095
Mg4 0.0059 0.5029 0.1627
Mg5 0.1694 0.3388 0.1500
Ag1 0.0000 0.0000 0.5620

=====

No. 14
# BaFe3W | Alexandria via LeMat-Bulk | PBE | optimized geometry
# Polymorph energy (0 for the lowest one) (eV per atom): 1.843
# Crystal system: cubic
data_BaFe3W
_chemical_formula_sum 'Ba1 Fe3 W1'
_space_group_name_H-M_alt 'P m -3 m'
_space_group_IT_number 221
_space_group_name_Hall '-P 4 2 3'
_cell_length_a 4.716
_cell_length_b 4.716
_cell_length_c 4.716
_cell_angle_alpha 90.00
_cell_angle_beta 90.00
_cell_angle_gamma 90.00
loop_
_atom_site_label
_atom_site_fract_x
_atom_site_fract_y
_atom_site_fract_z
Ba1 0.000 0.000 0.000
Fe1 0.000 0.000 0.500
W1 0.500 0.500 0.500

=====

No. 15
# TmScSO2 | Alexandria via LeMat-Bulk | PBE | optimized geometry
# Uncorrected formation energy (eV per formula unit): -15.45
# Crystal system: monoclinic
data_TmScSO2
_chemical_formula_sum 'Tm2 Sc2 S2 O4'
_space_group_name_H-M_alt 'P 1 21/m 1'
_space_group_IT_number 11
_cell_length_a 6.265
_cell_length_b 3.908
_cell_length_c 7.246
_cell_angle_alpha 90.00
_cell_angle_beta 112.71
_cell_angle_gamma 90.00
loop_
_space_group_symop_operation_xyz
'x,y,z'
'-x,-y,-z'
'-x,y+1/2,-z'
'x,-y+1/2,z'
loop_
_atom_site_label
_atom_site_fract_x
_atom_site_fract_y
_atom_site_fract_z
Tm1 0.190 0.250 0.439
Sc1 0.166 0.250 0.937
S1 0.475 0.750 0.731
O1 0.010 0.750 0.367
O2 0.037 0.750 0.897

=====

No. 16
# Nd2AsPt | Alexandria via LeMat-Bulk | PBE | optimized geometry
# Polymorph energy (0 for the lowest one) (eV per atom): 0.114
# Crystal system: trigonal
data_Nd2AsPt
_chemical_formula_sum 'Nd6 As3 Pt3'
_space_group_name_H-M_alt 'R 3 m'
_space_group_IT_number 160
_space_group_name_Hall 'R 3 -2"'
_cell_length_a 4.1727
_cell_length_b 4.1727
_cell_length_c 21.7274
_cell_angle_alpha 90.00
_cell_angle_beta 90.00
_cell_angle_gamma 120.00
loop_
_atom_site_label
_atom_site_fract_x
_atom_site_fract_y
_atom_site_fract_z
Nd1 0.0000 0.0000 0.0000
Nd2 0.0000 0.0000 0.1697
As1 0.0000 0.0000 0.5835
Pt1 0.0000 0.0000 0.4183

=====

No. 17
# Sm2TiAs3Rh4 | Alexandria via LeMat-Bulk | PBE | optimized geometry
# Crystal system: tetragonal
# Total DFT energy (no corrections) (eV/cell): -70.3
data_Sm2TiAs3Rh4
_chemical_formula_sum 'Sm2 Ti1 As3 Rh4'
_space_group_name_H-M_alt 'P -4 m 2'
_space_group_IT_number 115
_cell_length_a 4.095
_cell_length_b 4.095
_cell_length_c 10.855
_cell_angle_alpha 90.00
_cell_angle_beta 90.00
_cell_angle_gamma 90.00
loop_
_space_group_symop_operation_xyz
'x,y,z'
'y,-x,-z'
'-x,-y,z'
'-y,x,-z'
'-x,y,z'
'-y,-x,-z'
'x,-y,z'
'y,x,-z'
loop_
_atom_site_label
_atom_site_fract_x
_atom_site_fract_y
_atom_site_fract_z
Sm1 0.000 0.500 0.234
Ti1 0.000 0.000 0.500
As1 0.000 0.500 0.862
As2 0.500 0.500 0.500
Rh1 0.000 0.000 0.000
Rh2 0.000 0.500 0.637
Rh3 0.500 0.500 0.000